1.
A geometry-optimized La3Sm3In structure. Source: Alexandria via LeMat-Bulk, functional PBE.

Values from the calculation:
- ΔH_f (0 K): -0.12 eV per atom
- Density of states at the Fermi level: 1.260 states/eV/atom
- V: 462.85 Å³/cell

```
La3Sm3In
1.0
-2.234 0.361 5.308
-8.017 -4.343 -3.080
7.302 -5.248 3.431
La Sm In
6 6 2
direct
0.250 0.521 0.630
0.250 0.109 0.479
0.250 0.370 0.891
0.750 0.479 0.370
0.750 0.891 0.521
0.750 0.630 0.109
0.750 0.759 0.821
0.750 0.062 0.241
0.750 0.180 0.938
0.250 0.241 0.179
0.250 0.938 0.759
0.250 0.820 0.062
0.750 0.334 0.667
0.250 0.666 0.333
```

2.
A geometry-optimized LaSmIn structure. Source: Alexandria via LeMat-Bulk, functional PBE.

Values from the calculation:
- ΔH_f (0 K): -0.28 eV per atom
- Density of states at the Fermi level: 1.715 states/eV/atom
- V: 92.29 Å³/cell

```
LaSmIn
1.0
-1.804 -3.567 -1.070
3.012 -0.698 -2.750
2.249 -0.445 5.689
In Sm La
1 1 1
direct
0.944 0.944 0.888
0.298 0.298 0.596
0.608 0.608 0.215
```

3.
A geometry-optimized LaSm3In2 structure. Source: Alexandria via LeMat-Bulk, functional PBE.

Values from the calculation:
- ΔH_f (0 K): -0.26 eV per atom
- Density of states at the Fermi level: 1.106 states/eV/atom
- V: 375.96 Å³/cell

```
LaSm3In2
1.0
-4.052 3.439 1.383
-3.973 -7.185 -4.678
2.725 -0.391 8.957
La Sm In
2 6 4
direct
0.870 0.739 0.912
0.130 0.261 0.088
0.306 0.611 0.610
0.940 0.880 0.594
0.617 0.235 0.691
0.383 0.765 0.309
0.060 0.120 0.406
0.694 0.389 0.390
0.517 0.034 0.868
0.483 0.966 0.132
0.773 0.545 0.138
0.227 0.455 0.862
```